(1)
A plane-wave DFT calculation with GGA-PBEsol was carried out for a geometry-optimized CoHg2BiOs structure.

Unit cell a=4.422 b=5.155 c=5.155 alpha=90.00 beta=90.00 gamma=90.00
Atoms (fractional coordinates):
Hg1 0.000 0.000 0.500
Hg2 0.000 0.500 0.000
Co1 0.500 0.000 0.000
Os1 0.000 0.000 0.000
Bi1 0.500 0.500 0.500

=====

(2)
A plane-wave DFT calculation with GGA-PBEsol was carried out for a geometry-optimized CoHgBiP2 structure.

Unit cell a=4.256 b=4.256 c=5.420 alpha=90.00 beta=90.00 gamma=90.00
Atoms (fractional coordinates):
P1 0.500 0.000 0.000
P2 0.000 0.500 0.000
Co1 0.000 0.000 0.000
Hg1 0.000 0.000 0.500
Bi1 0.500 0.500 0.500

=====

Record-wise formation enthalpy at 0 K values, in kJ/mol of atoms: 108; 32
Record-wise DOS(E_F) values, in states/eV per cell: 7.3; 4.4